{
  "formula": "LiAlAs2",
  "functional": "PBE",
  "state": "relaxed",
  "e_form_mev_per_atom": -58,
  "lattice": [[-5.8668, -0.0070, 2.0694], [1.2068, -5.0654, 3.4041], [-1.0146, 0.2898, 6.4755]],
  "species": ["As", "As", "As", "As", "Al", "Al", "Li", "Li"],
  "frac_coords": [[0.6379, 0.1250, 0.2500], [0.1121, 0.6250, 0.2500], [0.3750, 0.3621, 0.7500], [0.8750, 0.8879, 0.7500], [0.0000, 0.0000, 0.0000], [0.7500, 0.2500, 0.5000], [0.5000, 0.5000, 0.0000], [0.2500, 0.7500, 0.5000]]
}

{
  "formula": "Li2AlAs",
  "functional": "PBE",
  "state": "relaxed",
  "e_form_mev_per_atom": -222,
  "lattice": [[2.9430, 0.0000, 0.0000], [0.0000, 5.0985, -0.0548], [0.0000, 3.4062, 4.4131]],
  "species": ["Al", "As", "Li", "Li"],
  "frac_coords": [[0.5000, 0.5000, 0.5000], [0.0000, 0.0000, 0.5000], [0.0000, 0.0000, 0.0000], [0.5000, 0.5000, 0.0000]]
}

{
  "formula": "Li4AlAs",
  "functional": "PBE",
  "state": "relaxed",
  "e_form_mev_per_atom": -37,
  "lattice": [[-3.6993, -3.4087, 1.1950], [-0.6620, -1.4818, 4.9090], [-4.1822, 1.5371, 2.6228]],
  "species": ["Li", "Li", "Li", "Li", "Al", "As"],
  "frac_coords": [[0.8749, 0.3750, 0.3750], [0.3750, 0.3750, 0.8749], [0.3750, 0.8749, 0.3750], [0.3750, 0.3750, 0.3750], [0.7500, 0.7500, 0.7500], [0.0000, 0.0000, 0.0000]]
}

{
  "formula": "LiAlAs4",
  "functional": "PBE",
  "state": "relaxed",
  "e_form_mev_per_atom": 165,
  "lattice": [[3.0150, 0.1393, 4.7388], [-2.5577, -0.5364, 4.9736], [0.6952, -4.6826, 3.0259]],
  "species": ["Li", "Al", "As", "As", "As", "As"],
  "frac_coords": [[0.7500, 0.7500, 0.7500], [0.0000, 0.0000, 0.0000], [0.3735, 0.8795, 0.3735], [0.8795, 0.3735, 0.3735], [0.3735, 0.3735, 0.8795], [0.3735, 0.3735, 0.3735]]
}

{
  "formula": "Li2AlAs",
  "functional": "PBE",
  "state": "relaxed",
  "e_form_mev_per_atom": -85,
  "lattice": [[-4.3754, 3.6800, -7.0272], [-6.6959, 2.2942, -5.6542], [-5.8284, 5.0543, -4.7490]],
  "species": ["Al", "As", "Li", "Li"],
  "frac_coords": [[0.4986, 0.4986, 0.4986], [0.7494, 0.7494, 0.7494], [0.0065, 0.0065, 0.0065], [0.2455, 0.2455, 0.2455]]
}

{
  "formula": "LiAlAs2",
  "functional": "PBE",
  "state": "relaxed",
  "e_form_mev_per_atom": -145,
  "lattice": [[3.7238, 0.0000, 0.0000], [0.0000, 3.7238, 0.0000], [0.0000, 0.0000, 5.2108]],
  "species": ["Al", "As", "As", "Li"],
  "frac_coords": [[0.5000, 0.5000, 0.8700], [0.0000, 0.0000, 0.8792], [0.5000, 0.5000, 0.3712], [0.0000, 0.0000, 0.3795]]
}

{
  "formula": "LiAlAs",
  "functional": "PBE",
  "state": "relaxed",
  "e_form_mev_per_atom": -212,
  "lattice": [[-2.1926, 1.2614, -3.8275], [3.2327, -3.2508, -0.1736], [-2.0077, -2.0223, 0.4837]],
  "species": ["Al", "As", "Li"],
  "frac_coords": [[0.0000, 0.0000, 0.1663], [0.3333, 0.6667, 0.1671], [0.6667, 0.3333, 0.6666]]
}

{
  "formula": "LiAlAs",
  "functional": "PBE",
  "state": "relaxed",
  "e_form_mev_per_atom": -230,
  "lattice": [[-0.4722, 3.1792, -2.9630], [-3.3658, -0.0928, -2.7879], [-3.2502, 2.8958, 0.4004]],
  "species": ["Al", "As", "Li"],
  "frac_coords": [[0.5000, 0.5000, 0.5000], [0.2500, 0.2500, 0.2500], [0.0000, 0.0000, 0.0000]]
}

{
  "formula": "LiAlAs2",
  "functional": "PBE",
  "state": "relaxed",
  "e_form_mev_per_atom": -241,
  "lattice": [[-1.6708, -2.3115, -2.8679], [1.1364, -3.6834, -1.2248], [-3.5023, -3.6176, 2.9632]],
  "species": ["Al", "As", "As", "Li"],
  "frac_coords": [[0.2500, 0.2500, 0.2500], [0.9964, 0.9964, 0.0103], [0.5036, 0.5036, 0.4897], [0.7500, 0.7500, 0.7500]]
}

{
  "formula": "Li2AlAs",
  "functional": "PBE",
  "state": "relaxed",
  "e_form_mev_per_atom": -307,
  "lattice": [[-4.1811, 2.5134, 0.9874], [-0.8037, 0.3569, 4.8990], [3.9457, 0.9572, -2.8790]],
  "species": ["Al", "As", "Li", "Li"],
  "frac_coords": [[0.5000, 0.5000, 0.0000], [0.7500, 0.2500, 0.5000], [0.0000, 0.0000, 0.0000], [0.2500, 0.7500, 0.5000]]
}

{
  "formula": "LiAlAs",
  "functional": "PBE",
  "state": "relaxed",
  "e_form_mev_per_atom": -112,
  "lattice": [[-2.2620, -5.7286, -0.2801], [2.0886, -5.7098, -1.0234], [0.4570, 5.4674, 2.8126]],
  "species": ["Al", "As", "Li"],
  "frac_coords": [[0.9825, 0.9825, 0.0000], [0.3418, 0.3418, 0.0000], [0.6757, 0.6757, 0.0000]]
}

{
  "formula": "LiAlAs2",
  "functional": "PBE",
  "state": "relaxed",
  "e_form_mev_per_atom": 88,
  "lattice": [[4.6757, 0.0000, 0.0000], [2.3378, 4.0492, 0.0000], [2.3378, 1.3497, 3.8177]],
  "species": ["Al", "As", "As", "Li"],
  "frac_coords": [[0.5000, 0.5000, 0.5000], [0.0000, 0.0000, 0.0000], [0.2500, 0.2500, 0.2500], [0.7500, 0.7500, 0.7500]]
}

{
  "formula": "Li2AlAs",
  "functional": "PBE",
  "state": "relaxed",
  "e_form_mev_per_atom": -88,
  "lattice": [[2.9652, 0.0447, 0.0000], [-0.6852, 2.8853, 0.0000], [0.0000, 0.0000, 8.5325]],
  "species": ["Al", "As", "Li", "Li"],
  "frac_coords": [[0.0000, 0.0000, 0.5106], [0.5000, 0.5000, 0.7472], [0.0000, 0.0000, 0.9733], [0.5000, 0.5000, 0.2690]]
}

{
  "formula": "Li2AlAs",
  "functional": "PBE",
  "state": "relaxed",
  "e_form_mev_per_atom": -314,
  "lattice": [[-2.1104, 1.5104, -4.3574], [0.1128, -5.0510, 0.4440], [-2.4243, 0.0506, 1.1917]],
  "species": ["Al", "As", "Li", "Li"],
  "frac_coords": [[0.5000, 0.0000, 0.5000], [0.0000, 0.5000, 0.5000], [0.0000, 0.0000, 0.0000], [0.5000, 0.5000, 0.0000]]
}